1.
{"formula": "LiBePt2", "functional": "PBE-GGA", "state": "relaxed", "lattice": [[-0.419, 2.143, 6.207], [-6.295, 1.637, -0.990], [-4.095, -0.481, 3.377]], "species": ["Be", "Pt", "Li", "Pt", "Be", "Pt", "Pt", "Li"], "fractional_positions": [[0.000, 0.000, 0.000], [0.071, 0.625, 0.250], [0.250, 0.750, 0.500], [0.679, 0.125, 0.250], [0.750, 0.250, 0.500], [0.875, 0.929, 0.750], [0.375, 0.321, 0.750], [0.500, 0.500, 0.000]]}

2.
{"formula": "LiBePt", "functional": "PBE-GGA", "state": "relaxed", "lattice": [[-2.606, -1.188, 0.491], [0.704, -2.246, -1.704], [3.397, -4.450, 7.270]], "species": ["Li", "Be", "Li", "Be", "Pt", "Pt"], "fractional_positions": [[0.500, 0.000, 0.620], [0.000, 0.500, 0.069], [0.000, 0.500, 0.380], [0.500, 0.000, 0.931], [0.500, 0.000, 0.193], [0.000, 0.500, 0.807]], "e_above_lowest_polymorph_mev_per_atom": 64}

3.
{"formula": "Li2BePt2", "functional": "PBE-GGA", "state": "relaxed", "lattice": [[-0.965, 2.105, -6.102], [-3.034, -5.593, -1.450], [-2.511, 1.156, 0.796]], "species": ["Pt", "Pt", "Pt", "Li", "Be", "Li", "Li", "Li", "Be", "Pt"], "fractional_positions": [[0.308, 0.192, 0.500], [0.808, 0.308, 0.500], [0.192, 0.692, 0.500], [0.889, 0.611, 0.000], [0.000, 0.000, 0.000], [0.389, 0.889, 0.000], [0.611, 0.111, 0.000], [0.111, 0.389, 0.000], [0.500, 0.500, 0.000], [0.692, 0.808, 0.500]], "e_above_lowest_polymorph_mev_per_atom": 316}

4.
{"formula": "LiBePt", "functional": "PBE-GGA", "state": "relaxed", "lattice": [[-3.197, 9.870, 7.800], [-1.464, -2.546, 2.622], [2.515, -0.167, 1.242]], "species": ["Li", "Li", "Be", "Li", "Be", "Be", "Be", "Pt", "Pt", "Pt", "Li", "Pt"], "fractional_positions": [[0.500, 0.000, 0.500], [0.500, 0.500, 0.000], [0.685, 0.500, 0.500], [0.000, 0.000, 0.000], [0.315, 0.500, 0.500], [0.815, 0.000, 0.500], [0.185, 0.000, 0.500], [0.162, 0.500, 0.000], [0.662, 0.000, 0.000], [0.838, 0.500, 0.000], [0.000, 0.500, 0.500], [0.338, 0.000, 0.000]], "e_above_lowest_polymorph_mev_per_atom": 58}

5.
{"formula": "RbLi2BePt", "functional": "PBE-GGA", "state": "relaxed", "lattice": [[-1.816, 3.667, 2.154], [-4.363, -2.901, 1.261], [2.017, -1.319, 3.946]], "species": ["Li", "Rb", "Li", "Be", "Pt"], "fractional_positions": [[0.000, 0.000, 0.500], [0.000, 0.000, 0.000], [0.500, 0.000, 0.000], [0.500, 0.500, 0.500], [0.000, 0.500, 0.000]]}

6.
{"formula": "LiScBePt", "functional": "PBE-GGA", "state": "relaxed", "lattice": [[4.365, 0.000, 0.000], [2.183, 3.781, 0.000], [2.183, 1.260, 3.564]], "species": ["Pt", "Li", "Be", "Sc"], "fractional_positions": [[0.750, 0.750, 0.750], [0.250, 0.250, 0.250], [0.500, 0.500, 0.500], [0.000, 0.000, 0.000]]}

7.
{"formula": "LiSm2Be4Pt3", "functional": "PBE-GGA", "state": "relaxed", "lattice": [[4.119, 0.000, 0.000], [0.000, 4.119, 0.000], [0.000, 0.000, 9.305]], "species": ["Be", "Pt", "Sm", "Li", "Be", "Sm", "Be", "Pt", "Pt", "Be"], "fractional_positions": [[0.000, 0.500, 0.377], [0.000, 0.500, 0.125], [0.000, 0.500, 0.753], [0.500, 0.500, 0.500], [0.000, 0.000, 0.000], [0.500, 0.000, 0.247], [0.500, 0.500, 0.000], [0.000, 0.000, 0.500], [0.500, 0.000, 0.875], [0.500, 0.000, 0.623]]}

8.
{"formula": "LiSm2Be3Pt4", "functional": "PBE-GGA", "state": "relaxed", "lattice": [[-3.596, 0.682, 1.695], [0.846, -2.695, 2.879], [3.995, 7.210, 5.578]], "species": ["Pt", "Pt", "Be", "Pt", "Be", "Pt", "Be", "Sm", "Sm", "Li"], "fractional_positions": [[0.500, 0.500, 0.000], [0.000, 0.500, 0.358], [0.000, 0.500, 0.119], [0.000, 0.000, 0.000], [0.000, 0.000, 0.500], [0.500, 0.000, 0.642], [0.500, 0.000, 0.881], [0.500, 0.000, 0.247], [0.000, 0.500, 0.753], [0.500, 0.500, 0.500]]}

9.
{"formula": "LiBeSn2Pt", "functional": "PBE-GGA", "state": "relaxed", "lattice": [[-3.717, 2.288, -1.985], [-1.741, -3.824, -1.149], [-2.346, -0.187, 4.177]], "species": ["Pt", "Sn", "Li", "Sn", "Be"], "fractional_positions": [[0.000, 0.500, 0.000], [0.000, 0.000, 0.500], [0.000, 0.000, 0.000], [0.500, 0.000, 0.000], [0.500, 0.500, 0.500]]}

10.
{"formula": "Sr2LiBePt2", "functional": "PBE-GGA", "state": "relaxed", "lattice": [[6.217, 0.000, 0.000], [0.000, 6.233, 0.000], [-3.109, -3.117, 6.798]], "species": ["Li", "Sr", "Sr", "Be", "Sr", "Pt", "Pt", "Pt", "Sr", "Pt", "Be", "Li"], "fractional_positions": [[0.000, 0.250, 0.000], [0.920, 0.664, 0.329], [0.591, 0.836, 0.671], [0.500, 0.250, 0.000], [0.080, 0.336, 0.671], [0.205, 0.914, 0.828], [0.623, 0.414, 0.828], [0.377, 0.586, 0.172], [0.409, 0.164, 0.329], [0.795, 0.086, 0.172], [0.500, 0.750, 0.000], [0.000, 0.750, 0.000]]}

11.
{"formula": "SrLiBePt2", "functional": "PBE-GGA", "state": "relaxed", "lattice": [[-1.736, 0.147, 4.067], [2.226, -3.668, 1.083], [3.533, 2.561, 1.415]], "species": ["Sr", "Be", "Pt", "Pt", "Li"], "fractional_positions": [[0.500, 0.500, 0.500], [0.000, 0.000, 0.000], [0.000, 0.500, 0.000], [0.500, 0.000, 0.000], [0.000, 0.000, 0.500]]}

12.
{"formula": "SrLi2BePt", "functional": "PBE-GGA", "state": "relaxed", "lattice": [[4.657, 0.000, 0.000], [0.000, 4.657, 0.000], [0.000, 0.000, 4.432]], "species": ["Pt", "Sr", "Be", "Li", "Li"], "fractional_positions": [[0.000, 0.000, 0.500], [0.500, 0.500, 0.500], [0.000, 0.000, 0.000], [0.000, 0.500, 0.000], [0.500, 0.000, 0.000]], "e_above_lowest_polymorph_mev_per_atom": 0}

Number 1: electronic total energy -4.8107 eV/atom, magnetic moment 0.00 μB/f.u.. Number 2: electronic total energy -4.4611 eV/atom, magnetic moment 0.00 μB/f.u.. Number 3: electronic total energy -4.1876 eV/atom, magnetic moment 0.00 μB/f.u.. Number 4: electronic total energy -4.4673 eV/atom, magnetic moment 0.00 μB/f.u.. Number 5: electronic total energy -1.5222 eV/atom, magnetic moment 0.00 μB/f.u.. Number 6: electronic total energy -5.0257 eV/atom, magnetic moment 0.00 μB/f.u.. Number 7: electronic total energy -5.0899 eV/atom, magnetic moment 0.00 μB/f.u.. Number 8: electronic total energy -5.5259 eV/atom, magnetic moment 0.00 μB/f.u.. Number 9: electronic total energy -3.3273 eV/atom, magnetic moment 0.00 μB/f.u.. Number 10: electronic total energy -4.1451 eV/atom, magnetic moment 0.00 μB/f.u.. Number 11: electronic total energy -4.4144 eV/atom, magnetic moment 0.00 μB/f.u.. Number 12: electronic total energy -3.3019 eV/atom, magnetic moment 0.00 μB/f.u..